Material: MnNbO2
Method: DFT, GGA+U
State: optimized geometry

a b c (Å): 5.5179 5.5179 5.5179
angles (deg): 90.00 90.00 90.00
Closest atoms and distances in Å follow each position.
Space group Fm-3m (No. 225)
Asymmetric unit:
Mn1 0.0000 0.0000 0.0000 [4 per cell]  8 O 2.39
Nb1 0.0000 0.0000 0.5000 [4 per cell]  8 O 2.39
O1 0.2500 0.2500 0.2500 [8 per cell]  4 Mn 2.39, 4 Nb 2.39

Its uncorrected energy is -7.84 eV/atom. As for the distance to the lowest polymorph of the same formula: 0.548 eV/atom.